(1)
Entry from Alexandria via LeMat-Bulk: a relaxed structure of LiCa2PdAu6 (PBE).

Values from the calculation:
The symmetry is P-1 (2). As for the crystal system: triclinic. For the electronic total energy, the calculation gives -35.6 eV/cell.

a = 5.4779 Å, b = 6.7387 Å, c = 6.7837 Å
α = 90.12°, β = 112.98°, γ = 113.64°
Atoms (fractional coordinates):
Li1 0.0000 0.0000 0.0000
Ca1 0.2358 0.7241 0.7419
Ca2 0.7642 0.2759 0.2581
Pd1 0.5000 0.5000 0.5000
Au1 0.1820 0.1789 0.6853
Au2 0.2395 0.4169 0.0635
Au3 0.3170 0.8216 0.3112
Au4 0.6830 0.1784 0.6888
Au5 0.7605 0.5831 0.9365
Au6 0.8180 0.8211 0.3147


(2)
Entry from Alexandria via LeMat-Bulk: a relaxed structure of LiCa2Pd2Au5 (PBE).

Values from the calculation:
The symmetry is P4/mbm (127). As for the crystal system: tetragonal. For the electronic total energy, the calculation gives -76.5 eV/cell.

a = 9.7288 Å, b = 9.7288 Å, c = 4.2305 Å
α = 90.00°, β = 90.00°, γ = 90.00°
Atoms (fractional coordinates):
Li1 0.0000 0.0000 0.0000
Li2 0.5000 0.5000 0.0000
Ca1 0.1725 0.3275 0.0000
Ca2 0.3275 0.8275 0.0000
Ca3 0.6725 0.1725 0.0000
Ca4 0.8275 0.6725 0.0000
Pd1 0.1256 0.6256 0.0000
Pd2 0.3744 0.1256 0.0000
Pd3 0.6256 0.8744 0.0000
Pd4 0.8744 0.3744 0.0000
Au1 0.0000 0.5000 0.5000
Au2 0.0658 0.8027 0.5000
Au3 0.1973 0.0658 0.5000
Au4 0.3027 0.5658 0.5000
Au5 0.4342 0.3027 0.5000
Au6 0.5000 0.0000 0.5000
Au7 0.5658 0.6973 0.5000
Au8 0.6973 0.4342 0.5000
Au9 0.8027 0.9342 0.5000
Au10 0.9342 0.1973 0.5000


(3)
Entry from Alexandria via LeMat-Bulk: a relaxed structure of LiCaPd2Au (PBE).

Values from the calculation:
The symmetry is P4/mmm (123). As for the crystal system: tetragonal. For the electronic total energy, the calculation gives -17.7 eV/cell.

a = 4.3540 Å, b = 4.3540 Å, c = 4.8382 Å
α = 90.00°, β = 90.00°, γ = 90.00°
Atoms (fractional coordinates):
Li1 0.0000 0.0000 0.0000
Ca1 0.0000 0.0000 0.5000
Pd1 0.0000 0.5000 0.0000
Pd2 0.5000 0.0000 0.0000
Au1 0.5000 0.5000 0.5000


The highest electronic total energy belongs to which entry?
LiCaPd2Au


electronic total energy of number 3 (LiCaPd2Au)?
-17.7 eV/cell


Which value of electronic total energy does entry 3 give?
-17.7 eV/cell


What did the third record say?
Entry from Alexandria via LeMat-Bulk: a relaxed structure of LiCaPd2Au (PBE).

Values from the calculation:
The symmetry is P4/mmm (123). As for the crystal system: tetragonal. For the electronic total energy, the calculation gives -17.7 eV/cell.

a = 4.3540 Å, b = 4.3540 Å, c = 4.8382 Å
α = 90.00°, β = 90.00°, γ = 90.00°
Atoms (fractional coordinates):
Li1 0.0000 0.0000 0.0000
Ca1 0.0000 0.0000 0.5000
Pd1 0.0000 0.5000 0.0000
Pd2 0.5000 0.0000 0.0000
Au1 0.5000 0.5000 0.5000